Here is a relaxed Yb3Si2Ni6 crystal from Alexandria via LeMat-Bulk. Energies are from GGA-PBE.

Size of the total moment = 0.5 μB/f.u.
Uncorrected formation energy = -0.5292 eV per atom

Lattice parameters (Å, degrees): 7.597 7.597 7.597 109.47 109.47 109.47
Sites, in units of the cell vectors:
Yb  0.000  0.286  0.286
Yb  0.000  0.714  0.714
Yb  0.286  0.000  0.286
Yb  0.286  0.286  0.000
Yb  0.714  0.000  0.714
Yb  0.714  0.714  0.000
Si  0.000  0.000  0.500
Si  0.000  0.500  0.000
Si  0.500  0.000  0.000
Si  0.500  0.500  0.500
Ni  0.000  0.328  0.672
Ni  0.000  0.672  0.328
Ni  0.328  0.000  0.672
Ni  0.328  0.328  0.656
Ni  0.328  0.656  0.328
Ni  0.328  0.672  0.000
Ni  0.344  0.672  0.672
Ni  0.656  0.328  0.328
Ni  0.672  0.000  0.328
Ni  0.672  0.328  0.000
Ni  0.672  0.344  0.672
Ni  0.672  0.672  0.344

---

Here is a relaxed Pr2Er3Bi2Sb2 crystal from Alexandria via LeMat-Bulk. Energies are from GGA-PBE.

Size of the total moment = 0.0 μB/f.u.
Uncorrected formation energy = -0.6296 eV per atom

Lattice parameters (Å, degrees): 8.846 8.846 8.846 139.99 139.99 57.87
Sites, in units of the cell vectors:
Pr  0.093  0.093  0.000
Pr  0.907  0.907  0.000
Er  0.250  0.750  0.500
Er  0.500  0.500  0.000
Er  0.750  0.250  0.500
Bi  0.300  0.300  0.000
Bi  0.700  0.700  0.000
Sb  0.000  0.500  0.500
Sb  0.500  0.000  0.500